# 1
Computed, not measured: a relaxed KBeP2 crystal at the PBE level of DFT.

Unit cell a=4.020 b=4.020 c=6.528 alpha=99.31 beta=99.31 gamma=47.35
Positions (direct):
K (0.000, 0.000, 0.000)
Be (0.500, 0.500, 0.500)
P (0.225, 0.225, 0.627)
P (0.775, 0.775, 0.373)

Computed properties:
**VASP energy**: -15.844 eV per formula unit
**Formation energy**: -0.05 eV/atom
**SG**: C2/m
**Magnetization**: 0.0000 μB per atom

***

# 2
Computed, not measured: a relaxed MnTlNi2 crystal at the PBE level of DFT.

Unit cell a=8.181 b=8.181 c=8.181 alpha=21.13 beta=21.13 gamma=21.13
Positions (direct):
Mn (0.000, 0.000, 0.000)
Tl (0.500, 0.500, 0.500)
Ni (0.257, 0.257, 0.257)
Ni (0.743, 0.743, 0.743)

Computed properties:
**VASP energy**: -21.450 eV per formula unit
**ΔE to the lowest computed polymorph**: 250 meV/atom
**Formation energy**: 0.41 eV/atom
**SG**: R-3m
**Magnetization**: 1.1204 μB per atom